VASP calculation (meta-GGA SCAN) on a PBEsol-optimized structure of KMgNi2Mo.

a = 4.5455 Å, b = 4.5455 Å, c = 5.0478 Å
α = 90.00°, β = 90.00°, γ = 90.00°
Last column: nearest neighbours and their distance in Å.
Element x y z (fractional)
Ni 0.0000 0.5000 0.0000  2 Mo 2.27
Mg 0.5000 0.5000 0.5000  4 K 3.21, 8 Ni 3.40
Mo 0.0000 0.0000 0.0000  4 Ni 2.27, 2 K 2.52
K 0.0000 0.0000 0.5000  2 Mo 2.52
Ni 0.5000 0.0000 0.0000  2 Mo 2.27

Summary:
energy of formation from the pure elements = 1.469 eV per atom

---

VASP calculation (meta-GGA SCAN) on a PBEsol-optimized structure of LaYHg2.

a = 3.7498 Å, b = 3.7498 Å, c = 9.5494 Å
α = 78.68°, β = 78.68°, γ = 60.00°
Last column: nearest neighbours and their distance in Å.
Element x y z (fractional)
Hg 0.2551 0.2551 0.2347  3 Y 3.07, 3 La 3.28
Y 0.0000 0.0000 0.0000  6 Hg 3.07
Hg 0.7449 0.7449 0.7653  3 Y 3.07, 3 La 3.28
La 0.5000 0.5000 0.5000  6 Hg 3.28

Summary:
energy of formation from the pure elements = -0.526 eV per atom

---

VASP calculation (meta-GGA SCAN) on a PBEsol-optimized structure of UI3.

a = 3.8194 Å, b = 10.7211 Å, c = 10.7211 Å
α = 119.50°, β = 90.00°, γ = 90.00°
Last column: nearest neighbours and their distance in Å.
Element x y z (fractional)
I 0.2500 0.5874 0.7939  2 U 3.05
U 0.7500 0.3326 0.6674  6 I 3.05
I 0.2500 0.2042 0.7958  2 U 3.05
I 0.2500 0.2061 0.4126  2 U 3.05
I 0.7500 0.4126 0.2061  2 U 3.05
U 0.2500 0.6674 0.3326  6 I 3.05
I 0.7500 0.7939 0.5874  2 U 3.05
I 0.7500 0.7958 0.2042  2 U 3.05

Summary:
formation energy without anion corrections = -0.85 eV per atom

---

VASP calculation (meta-GGA SCAN) on a PBEsol-optimized structure of KYNbIr2.

a = 5.0098 Å, b = 5.0294 Å, c = 5.0294 Å
α = 90.00°, β = 90.00°, γ = 90.00°
Last column: nearest neighbours and their distance in Å.
Element x y z (fractional)
Ir 0.0000 0.0000 0.5000  2 Y 2.51
Ir 0.0000 0.5000 0.0000  2 Y 2.51
K 0.5000 0.5000 0.5000  8 Ir 3.55, 4 Nb 3.56
Y 0.0000 0.0000 0.0000  2 Nb 2.50, 4 Ir 2.51
Nb 0.5000 0.0000 0.0000  2 Y 2.50

Summary:
energy of formation from the pure elements = 1.791 eV per atom

---

VASP calculation (meta-GGA SCAN) on a PBEsol-optimized structure of Al3Fe.

a = 4.6053 Å, b = 6.6238 Å, c = 7.4393 Å
α = 90.00°, β = 90.00°, γ = 90.00°
Last column: nearest neighbours and their distance in Å.
Element x y z (fractional)
Fe 0.0866 0.6355 0.2500  9 Al 2.40-2.55
Al 0.0993 0.3311 0.0596  3 Fe 2.40-2.47, 3 Al 2.57-2.69
Al 0.4065 0.5183 0.7500  3 Fe 2.44-2.55
Fe 0.4134 0.1355 0.2500  9 Al 2.40-2.55
Al 0.0993 0.3311 0.4404  3 Fe 2.40-2.47, 3 Al 2.57-2.69
Al 0.4007 0.8311 0.0596  3 Fe 2.40-2.47, 3 Al 2.57-2.69
Al 0.5993 0.1689 0.9404  3 Fe 2.40-2.47, 3 Al 2.57-2.69
Al 0.4007 0.8311 0.4404  3 Fe 2.40-2.47, 3 Al 2.57-2.69
Al 0.9007 0.6689 0.5596  3 Fe 2.40-2.47, 3 Al 2.57-2.69
Al 0.5993 0.1689 0.5596  3 Fe 2.40-2.47, 3 Al 2.57-2.69
Fe 0.9134 0.3645 0.7500  9 Al 2.40-2.55
Al 0.5935 0.4817 0.2500  3 Fe 2.44-2.55
Fe 0.5866 0.8645 0.7500  9 Al 2.40-2.55
Al 0.9007 0.6689 0.9404  3 Fe 2.40-2.47, 3 Al 2.57-2.69
Al 0.0935 0.0183 0.7500  3 Fe 2.44-2.55
Al 0.9065 0.9817 0.2500  3 Fe 2.44-2.55

Summary:
energy of formation from the pure elements = -0.244 eV per atom

---

VASP calculation (meta-GGA SCAN) on a PBEsol-optimized structure of Sc2GaPAu.

a = 4.5746 Å, b = 5.1099 Å, c = 5.1099 Å
α = 90.00°, β = 90.00°, γ = 90.00°
Last column: nearest neighbours and their distance in Å.
Element x y z (fractional)
Au 0.0000 0.0000 0.0000  2 Ga 2.29, 4 Sc 2.55
Ga 0.5000 0.0000 0.0000  2 Au 2.29
Sc 0.0000 0.0000 0.5000  2 Au 2.55
Sc 0.0000 0.5000 0.0000  2 Au 2.55
P 0.5000 0.5000 0.5000  8 Sc 3.43, 4 Ga 3.61

Summary:
energy of formation from the pure elements = -0.163 eV per atom

---

VASP calculation (meta-GGA SCAN) on a PBEsol-optimized structure of La2BrCl.

a = 3.6932 Å, b = 3.6932 Å, c = 8.8563 Å
α = 77.96°, β = 77.96°, γ = 60.00°
Last column: nearest neighbours and their distance in Å.
Element x y z (fractional)
Cl 0.0000 0.0000 0.0000  6 La 2.95
La 0.2540 0.2540 0.2379  3 Cl 2.95, 3 Br 3.10
Br 0.5000 0.5000 0.5000  6 La 3.10
La 0.7460 0.7460 0.7621  3 Cl 2.95, 3 Br 3.10

Summary:
E above lowest polymorph = 0.0000 eV per atom
formation energy without anion corrections = -1.62 eV per atom

---

VASP calculation (meta-GGA SCAN) on a PBEsol-optimized structure of Ca2TlPb.

a = 4.2545 Å, b = 4.2545 Å, c = 6.7853 Å
α = 90.00°, β = 90.00°, γ = 90.00°
Last column: nearest neighbours and their distance in Å.
Element x y z (fractional)
Ca 0.5000 0.5000 0.2843  1 Tl 3.18, 4 Pb 3.34
Tl 0.5000 0.5000 0.7535  5 Ca 3.18-3.33, 4 Pb 3.47
Pb 0.0000 0.0000 0.4982  5 Ca 3.16-3.34, 4 Tl 3.47
Ca 0.0000 0.0000 0.9640  1 Pb 3.16, 4 Tl 3.33

Summary:
E above lowest polymorph = 0.3315 eV per atom
energy of formation from the pure elements = -0.366 eV per atom

---

VASP calculation (meta-GGA SCAN) on a PBEsol-optimized structure of NaIn2Ge2.

a = 4.8769 Å, b = 4.8769 Å, c = 6.2560 Å
α = 112.94°, β = 112.94°, γ = 90.00°
Last column: nearest neighbours and their distance in Å.
Element x y z (fractional)
In 0.7500 0.2500 0.5000  4 Ge 2.80
Ge 0.3815 0.3815 0.7630  1 Ge 2.47
In 0.2500 0.7500 0.5000  4 Ge 2.80
Ge 0.6185 0.6185 0.2370  1 Ge 2.47
Na 0.0000 0.0000 0.0000  8 In 3.57, 10 Ge 3.66-3.98

Summary:
energy of formation from the pure elements = -0.036 eV per atom

---

VASP calculation (meta-GGA SCAN) on a PBEsol-optimized structure of KCaTa2.

a = 2.8951 Å, b = 5.3765 Å, c = 6.5798 Å
α = 111.63°, β = 98.39°, γ = 100.45°
Last column: nearest neighbours and their distance in Å.
Element x y z (fractional)
Ta 0.0000 0.0000 0.5000  4 Ta 2.81-2.90
K 0.0000 0.5000 0.0000  2 Ca 2.81, 2 K 2.90
Ca 0.5000 0.0000 0.0000  2 K 2.81, 2 Ca 2.90
Ta 0.5000 0.5000 0.5000  4 Ta 2.81-2.90

Summary:
E above lowest polymorph = 0.6002 eV per atom
energy of formation from the pure elements = 1.237 eV per atom

---

VASP calculation (meta-GGA SCAN) on a PBEsol-optimized structure of Li4BeAu.

a = 4.7590 Å, b = 4.7590 Å, c = 4.7590 Å
α = 60.00°, β = 60.00°, γ = 60.00°
Last column: nearest neighbours and their distance in Å.
Element x y z (fractional)
Be 0.0000 0.0000 0.0000  12 Li 2.79, 4 Au 2.91
Li 0.3757 0.8728 0.3757  6 Li 2.37-2.39
Li 0.3757 0.3757 0.3757  6 Li 2.37-2.39
Li 0.3757 0.3757 0.8728  6 Li 2.37-2.39
Au 0.7500 0.7500 0.7500  12 Li 2.79, 4 Be 2.91
Li 0.8728 0.3757 0.3757  6 Li 2.37-2.39

Summary:
energy of formation from the pure elements = -0.002 eV per atom

---

VASP calculation (meta-GGA SCAN) on a PBEsol-optimized structure of BeAlSCl2.

a = 4.5278 Å, b = 4.5278 Å, c = 4.7413 Å
α = 90.00°, β = 90.00°, γ = 90.00°
Last column: nearest neighbours and their distance in Å.
Element x y z (fractional)
Al 0.0000 0.0000 0.0000  4 Cl 2.26, 2 S 2.37
Be 0.5000 0.5000 0.5000  4 S 3.20, 8 Cl 3.28
Cl 0.0000 0.5000 0.0000  2 Al 2.26
S 0.0000 0.0000 0.5000  2 Al 2.37
Cl 0.5000 0.0000 0.0000  2 Al 2.26

Summary:
formation energy without anion corrections = -0.25 eV per atom

---

It is found that the density values, taken in the order of the records, are 4.41, 9.22, 5.38, 7.93, 4.00, 5.39, 6.43, 6.65, 5.32, 8.04, 5.09, 2.37 g/cm3.